A plane-wave DFT calculation with PBE-GGA was carried out for a relaxed LaSmHg crystal. Values from VASP.

Values from the calculation:
Formation energy: -0.1141 eV/atom
Volume: 103.23 Å³ per cell
Symmetry: No. 216
ΔE to the lowest computed polymorph: 0 meV per atom

```
&SYSTEM
  ibrav = 0, nat = 3, ntyp = 3
/
ATOMIC_SPECIES
La 138.91 La.upf
Sm 150.36 Sm.upf
Hg 200.59 Hg.upf
ATOMIC_POSITIONS angstrom
La 0.000 0.000 0.000
Sm 3.723 3.723 3.723
Hg 1.862 1.862 1.862
CELL_PARAMETERS angstrom
0.000 3.723 3.723
3.723 0.000 3.723
3.723 3.723 0.000
```